Entry 1:
# Hf4Si7Ni4, optimized geometry, DFT PBE
# Electronic total energy (eV/cell): -444.8
data_Hf4Si7Ni4
_chemical_formula_sum 'Hf16 Si28 Ni16'
_cell_length_a 12.877
_cell_length_b 12.877
_cell_length_c 5.101
_cell_angle_alpha 90.00
_cell_angle_beta 90.00
_cell_angle_gamma 90.00
_space_group_name_H-M_alt 'I 4/m m m'
_space_group_IT_number 139
_space_group_name_Hall '-I 4 2'
loop_
_atom_site_label
_atom_site_type_symbol
_atom_site_fract_x
_atom_site_fract_y
_atom_site_fract_z
Hf1 Hf 0.000 0.194 0.000
Hf2 Hf 0.137 0.137 0.500
Si1 Si 0.000 0.000 0.250
Si2 Si 0.000 0.296 0.500
Si3 Si 0.000 0.409 0.000
Si4 Si 0.209 0.209 0.000
Ni1 Ni 0.147 0.353 0.250


Entry 2:
# NbHgB, optimized geometry, DFT PBE
# Relative energy among the computed polymorphs (kJ per mole of atoms): 0.00
data_NbHgB
_chemical_formula_sum 'Nb4 Hg4 B4'
_cell_length_a 5.733
_cell_length_b 5.733
_cell_length_c 5.733
_cell_angle_alpha 90.00
_cell_angle_beta 90.00
_cell_angle_gamma 90.00
_space_group_name_H-M_alt 'F -4 3 m'
_space_group_IT_number 216
_space_group_name_Hall 'F -4 2 3'
loop_
_atom_site_label
_atom_site_type_symbol
_atom_site_fract_x
_atom_site_fract_y
_atom_site_fract_z
Nb1 Nb 0.000 0.000 0.000
Hg1 Hg 0.000 0.000 0.500
B1 B 0.250 0.250 0.750


Entry 3:
# NiMo4SN2, optimized geometry, DFT PBE
# Electronic total energy (eV/cell): -69.6
data_NiMo4SN2
_chemical_formula_sum 'Ni1 Mo4 S1 N2'
_cell_length_a 2.8994
_cell_length_b 2.8994
_cell_length_c 13.4139
_cell_angle_alpha 90.00
_cell_angle_beta 90.00
_cell_angle_gamma 120.00
_space_group_name_H-M_alt 'P -6 m 2'
_space_group_IT_number 187
_space_group_name_Hall 'P -6 2'
loop_
_atom_site_label
_atom_site_type_symbol
_atom_site_fract_x
_atom_site_fract_y
_atom_site_fract_z
Ni1 Ni 0.0000 0.0000 0.0000
Mo1 Mo 0.0000 0.0000 0.3616
Mo2 Mo 0.3333 0.6667 0.1560
S1 S 0.3333 0.6667 0.5000
N1 N 0.6667 0.3333 0.2573


Entry 4:
# Gd6InCo2, optimized geometry, DFT PBE
# Electronic total energy (eV/cell): -188.3
data_Gd6InCo2
_chemical_formula_sum 'Gd24 In4 Co8'
_cell_length_a 9.389
_cell_length_b 9.745
_cell_length_c 10.018
_cell_angle_alpha 90.00
_cell_angle_beta 90.00
_cell_angle_gamma 90.00
_space_group_name_H-M_alt 'I m m m'
_space_group_IT_number 71
_space_group_name_Hall '-I 2 2'
loop_
_atom_site_label
_atom_site_type_symbol
_atom_site_fract_x
_atom_site_fract_y
_atom_site_fract_z
Gd1 Gd 0.000 0.205 0.237
Gd2 Gd 0.187 0.500 0.176
Gd3 Gd 0.215 0.316 0.500
In1 In 0.000 0.000 0.000
In2 In 0.000 0.000 0.500
Co1 Co 0.000 0.336 0.000
Co2 Co 0.000 0.500 0.387


Entry 5:
# LiZr3Pb5, optimized geometry, DFT PBE
# Electronic total energy (eV/cell): -45.6
data_LiZr3Pb5
_chemical_formula_sum 'Li1 Zr3 Pb5'
_cell_length_a 6.1648
_cell_length_b 6.1648
_cell_length_c 8.0506
_cell_angle_alpha 90.00
_cell_angle_beta 90.00
_cell_angle_gamma 120.00
_space_group_name_H-M_alt 'P 6/m m m'
_space_group_IT_number 191
_space_group_name_Hall '-P 6 2'
loop_
_atom_site_label
_atom_site_type_symbol
_atom_site_fract_x
_atom_site_fract_y
_atom_site_fract_z
Li1 Li 0.0000 0.0000 0.0000
Zr1 Zr 0.0000 0.5000 0.5000
Pb1 Pb 0.0000 0.0000 0.5000
Pb2 Pb 0.3333 0.6667 0.1853


Entry 6:
# PrYSbF2, optimized geometry, DFT PBE
# Electronic total energy (eV/cell): -31.5
data_PrYSbF2
_chemical_formula_sum 'Pr1 Y1 Sb1 F2'
_cell_length_a 4.1181
_cell_length_b 4.1181
_cell_length_c 7.1881
_cell_angle_alpha 90.00
_cell_angle_beta 90.00
_cell_angle_gamma 120.00
_space_group_name_H-M_alt 'P 3 m 1'
_space_group_IT_number 156
loop_
_space_group_symop_operation_xyz
'x,y,z'
'-y,x-y,z'
'-x+y,-x,z'
'-y,-x,z'
'-x+y,y,z'
'x,x-y,z'
loop_
_atom_site_label
_atom_site_type_symbol
_atom_site_fract_x
_atom_site_fract_y
_atom_site_fract_z
Pr1 Pr 0.0000 0.0000 0.0000
Y1 Y 0.6667 0.3333 0.4678
Sb1 Sb 0.3333 0.6667 0.7224
F1 F 0.0000 0.0000 0.3448
F2 F 0.6667 0.3333 0.1468


Entry 7:
# DyTmCuS3, optimized geometry, DFT PBE
# Electronic total energy (eV/cell): -68.5
data_DyTmCuS3
_chemical_formula_sum 'Dy2 Tm2 Cu2 S6'
_cell_length_a 3.707
_cell_length_b 10.176
_cell_length_c 6.480
_cell_angle_alpha 90.00
_cell_angle_beta 105.77
_cell_angle_gamma 90.00
_space_group_name_H-M_alt 'P 1 21/m 1'
_space_group_IT_number 11
loop_
_space_group_symop_operation_xyz
'x,y,z'
'-x,-y,-z'
'-x,y+1/2,-z'
'x,-y+1/2,z'
loop_
_atom_site_label
_atom_site_type_symbol
_atom_site_fract_x
_atom_site_fract_y
_atom_site_fract_z
Dy1 Dy 0.000 0.000 0.000
Tm1 Tm 0.218 0.250 0.459
Cu1 Cu 0.496 0.750 0.962
S1 S 0.106 0.750 0.199
S2 S 0.361 0.582 0.708


Entry 8:
# Sm3GdTl2, optimized geometry, DFT PBE
# Electronic total energy (eV/cell): -25.1
data_Sm3GdTl2
_chemical_formula_sum 'Sm3 Gd1 Tl2'
_cell_length_a 5.4884
_cell_length_b 5.4884
_cell_length_c 6.8283
_cell_angle_alpha 90.00
_cell_angle_beta 90.00
_cell_angle_gamma 120.00
_space_group_name_H-M_alt 'P -6 m 2'
_space_group_IT_number 187
_space_group_name_Hall 'P -6 2'
loop_
_atom_site_label
_atom_site_type_symbol
_atom_site_fract_x
_atom_site_fract_y
_atom_site_fract_z
Sm1 Sm 0.0000 0.0000 0.0000
Sm2 Sm 0.6667 0.3333 0.2588
Gd1 Gd 0.3333 0.6667 0.5000
Tl1 Tl 0.0000 0.0000 0.5000
Tl2 Tl 0.3333 0.6667 0.0000


Entry 9:
# LiLuAu, optimized geometry, DFT PBE
# Relative energy among the computed polymorphs (kJ per mole of atoms): 34.47
data_LiLuAu
_chemical_formula_sum 'Li4 Lu4 Au4'
_cell_length_a 6.586
_cell_length_b 6.586
_cell_length_c 6.586
_cell_angle_alpha 90.00
_cell_angle_beta 90.00
_cell_angle_gamma 90.00
_space_group_name_H-M_alt 'F -4 3 m'
_space_group_IT_number 216
_space_group_name_Hall 'F -4 2 3'
loop_
_atom_site_label
_atom_site_type_symbol
_atom_site_fract_x
_atom_site_fract_y
_atom_site_fract_z
Li1 Li 0.000 0.000 0.000
Lu1 Lu 0.250 0.250 0.750
Au1 Au 0.000 0.000 0.500


Entry 10:
# RbPrTeS, optimized geometry, DFT PBE
# Electronic total energy (eV/cell): -58.1
data_RbPrTeS
_chemical_formula_sum 'Rb3 Pr3 Te3 S3'
_cell_length_a 4.4435
_cell_length_b 4.4435
_cell_length_c 24.6136
_cell_angle_alpha 90.00
_cell_angle_beta 90.00
_cell_angle_gamma 120.00
_space_group_name_H-M_alt 'R 3 m'
_space_group_IT_number 160
_space_group_name_Hall 'R 3 -2"'
loop_
_atom_site_label
_atom_site_type_symbol
_atom_site_fract_x
_atom_site_fract_y
_atom_site_fract_z
Rb1 Rb 0.0000 0.0000 0.0000
Pr1 Pr 0.0000 0.0000 0.4858
Te1 Te 0.0000 0.0000 0.2304
S1 S 0.0000 0.0000 0.7626


Entry 11:
# ScInTc, optimized geometry, DFT PBE
# Relative energy among the computed polymorphs (kJ per mole of atoms): 89.15
data_ScInTc
_chemical_formula_sum 'Sc4 In4 Tc4'
_cell_length_a 6.437
_cell_length_b 6.437
_cell_length_c 6.437
_cell_angle_alpha 90.00
_cell_angle_beta 90.00
_cell_angle_gamma 90.00
_space_group_name_H-M_alt 'F -4 3 m'
_space_group_IT_number 216
_space_group_name_Hall 'F -4 2 3'
loop_
_atom_site_label
_atom_site_type_symbol
_atom_site_fract_x
_atom_site_fract_y
_atom_site_fract_z
Sc1 Sc 0.000 0.000 0.000
In1 In 0.250 0.250 0.750
Tc1 Tc 0.250 0.250 0.250


Entry 12:
# Ni13Te2, optimized geometry, DFT PBE
# Relative energy among the computed polymorphs (kJ per mole of atoms): 8.13
data_Ni13Te2
_chemical_formula_sum 'Ni26 Te4'
_cell_length_a 8.109
_cell_length_b 2.777
_cell_length_c 27.891
_cell_angle_alpha 90.00
_cell_angle_beta 93.35
_cell_angle_gamma 90.00
_space_group_name_H-M_alt 'C 1 2/m 1'
_space_group_IT_number 12
loop_
_space_group_symop_operation_xyz
'x,y,z'
'-x,-y,-z'
'-x,y,-z'
'x,-y,z'
'x+1/2,y+1/2,z'
'-x+1/2,-y+1/2,-z'
'-x+1/2,y+1/2,-z'
'x+1/2,-y+1/2,z'
loop_
_atom_site_label
_atom_site_type_symbol
_atom_site_fract_x
_atom_site_fract_y
_atom_site_fract_z
Ni1 Ni 0.000 0.000 0.000
Ni2 Ni 0.046 0.500 0.930
Ni3 Ni 0.095 0.000 0.860
Ni4 Ni 0.132 0.500 0.176
Ni5 Ni 0.139 0.500 0.787
Ni6 Ni 0.180 0.000 0.106
Ni7 Ni 0.227 0.500 0.035
Te1 Te 0.094 0.000 0.257